# 1
A geometry-optimized CaYMo2O8 structure, computed with PBE with a Hubbard U.

Geometry as POSCAR:
```
CaYMo2O8
1.0
-2.6296 2.6296 5.7155
2.6296 -2.6296 5.7155
2.6296 2.6296 -5.7155
Ca Y Mo O
1 1 2 8
Cartesian
0.0000 0.0000 0.0000 Ca
2.6296 0.0000 2.8578 Y
0.0000 0.0000 5.7155 Mo
0.0000 2.6296 2.8578 Mo
1.2696 0.9137 -1.9300 O
1.2776 -0.8355 4.7413 O
1.7940 1.3520 0.9743 O
1.7158 -1.3599 7.6456 O
1.3520 3.4651 -0.9743 O
1.3599 1.7158 3.7855 O
0.8355 1.2776 6.6898 O
0.9137 3.9895 1.9300 O
```

* DFT total energy: -7.549 eV/atom

***

# 2
A geometry-optimized Ca2YMoO5 structure, computed with PBE with a Hubbard U.

Geometry as POSCAR:
```
Ca2YMoO5
1.0
-7.6934 2.9750 2.9077
7.6934 -2.9750 2.9077
7.6934 2.9750 -2.9077
Ca Y Mo O
4 2 2 10
Cartesian
1.6406 0.1096 0.0000 Ca
6.0528 0.1096 0.0000 Ca
1.6406 2.8655 2.9077 Ca
6.0528 2.8655 2.9077 Ca
3.8467 -0.2671 2.7332 Y
3.8467 3.2421 -0.1744 Y
0.0000 2.9750 0.2221 Mo
0.0000 0.0000 3.1297 Mo
8.2732 1.5635 -1.2936 O
7.1136 -1.4116 1.6140 O
11.5401 0.6312 0.5388 O
2.0745 2.3000 0.5294 O
5.6189 2.3000 0.5294 O
-0.5798 1.4116 1.6140 O
8.2732 1.4116 1.6140 O
2.0745 0.6750 3.4371 O
5.6189 0.6750 3.4371 O
-3.8467 2.3438 3.4465 O
```

* DFT total energy: -7.351 eV/atom

***

# 3
A geometry-optimized CaZnMo2O8 structure, computed with PBE with a Hubbard U.

Geometry as POSCAR:
```
CaZnMo2O8
1.0
-3.5662 3.5662 3.3719
3.5662 -3.5662 3.3719
3.5662 3.5662 -3.3719
Ca Zn Mo O
1 1 2 8
Cartesian
0.0000 0.0000 0.0000 Ca
0.0000 3.5662 1.6859 Zn
3.5662 0.0000 1.6859 Mo
0.0000 0.0000 3.3719 Mo
2.1645 0.0000 0.5823 O
4.9680 0.0000 0.5823 O
3.5662 2.1139 -1.0813 O
3.5662 -1.4018 2.7896 O
0.0000 1.4523 2.2906 O
3.5662 1.4018 2.7896 O
2.1139 3.5662 1.0813 O
1.4523 0.0000 4.4531 O
```

* DOS(E_F): 0.000 states/eV/atom
* DFT total energy: -6.551 eV/atom

***

# 4
A geometry-optimized Ca2Zn2MoO6 structure, computed with PBE with a Hubbard U.

Geometry as POSCAR:
```
Ca2Zn2MoO6
1.0
5.3638 0.0000 0.0000
-2.6819 4.6452 0.0000
0.0000 0.0000 5.5305
Ca Zn Mo O
2 2 1 6
Cartesian
0.0000 3.0968 0.0000 Ca
2.6819 1.5484 0.0000 Ca
0.0000 3.0968 2.7652 Zn
2.6819 1.5484 2.7652 Zn
0.0000 0.0000 2.7652 Mo
-0.8781 1.5209 3.9575 O
-1.8038 3.1243 1.5730 O
1.7562 0.0000 3.9575 O
0.8781 1.5209 1.5730 O
3.6076 0.0000 1.5730 O
1.8038 3.1243 3.9575 O
```

* DOS(E_F): 0.000 states/eV/atom
* DFT total energy: -5.873 eV/atom

***

no.,total magnetization (μB per formula unit)
1,1.00
2,3.00
3,0.00
4,2.00